## PmZnGa2Ni (GGA-PBE)

Data for crystalline PmZnGa2Ni at its relaxed geometry.

CIF file:
```
data_PmZnGa2Ni
_chemical_formula_sum 'Pm2 Zn2 Ga4 Ni2'
_cell_length_a 4.195
_cell_length_b 4.195
_cell_length_c 10.265
_cell_angle_alpha 90.00
_cell_angle_beta 90.00
_cell_angle_gamma 90.00
_space_group_name_H-M_alt 'I -4 m 2'
_space_group_IT_number 119
_space_group_name_Hall 'I -4 -2'
loop_
_atom_site_label
_atom_site_fract_x
_atom_site_fract_y
_atom_site_fract_z
_atom_site_occupancy
Pm1 0.000 0.000 0.000 1
Zn1 0.000 0.500 0.250 1
Ga1 0.000 0.000 0.377 1
Ni1 0.000 0.500 0.750 1
```

Properties
As for the crystal system: tetragonal. Its formation energy is -0.4907 eV/atom. The calculation puts the magnetic moment at 0.0 μB per formula unit. The value obtained for the uncorrected energy is -40.6 eV per cell.